Entry 1:
PBE NbSnOsBr2, optimized geometry; symmetry = No. 123; E_form (uncorrected) = 0.949 eV/atom; E = -23.903 eV/cell; size of the total moment = 0.000 μB per formula unit
1.0
-2.968 -0.708 -3.950
3.747 -2.461 -2.375
-1.585 -4.307 1.963
Br Os Sn Nb
2 1 1 1
Cartesian
-0.793 -2.153 0.981
-1.484 -0.354 -1.975
0.000 0.000 0.000
-0.403 -3.738 -2.181
1.874 -1.231 -1.187

Entry 2:
PBE Ti2NbOsBr, optimized geometry; symmetry = No. 123; E_form (uncorrected) = 1.201 eV/atom; E = -32.759 eV/cell; size of the total moment = 2.433 μB per formula unit
1.0
4.692 0.000 0.000
0.000 5.138 0.000
0.000 0.000 4.692
Os Ti Br Nb
1 2 1 1
Cartesian
0.000 0.000 0.000
0.000 0.000 2.346
2.346 0.000 0.000
0.000 2.569 0.000
2.346 2.569 2.346

Entry 3:
PBE NbVOs2Br, optimized geometry; symmetry = No. 123; E_form (uncorrected) = 1.701 eV/atom; E = -34.815 eV/cell; size of the total moment = 1.793 μB per formula unit
1.0
4.547 0.000 0.000
0.000 4.867 0.000
0.000 0.000 4.547
V Os Br Nb
1 2 1 1
Cartesian
0.000 0.000 0.000
0.000 0.000 2.273
2.273 0.000 0.000
2.273 2.433 2.273
0.000 2.433 0.000

Entry 4:
PBE NbPBr, optimized geometry; symmetry = No. 63; E_form (uncorrected) = -0.657 eV/atom; E = -38.250 eV/cell; size of the total moment = 0.000 μB per formula unit
1.0
3.546 0.000 0.000
0.000 3.546 0.000
-1.773 0.000 11.257
P Br Nb
2 2 2
Cartesian
1.773 3.003 4.228
0.000 1.230 7.029
0.000 1.232 1.867
1.773 3.005 9.390
0.000 1.230 4.438
1.773 3.003 6.819